Entry from Alexandria: Sc2ReRh after structural relaxation (GGA-PBEsol).

Total moment = 0.0 μB/cell
Final energy = -8.50 eV per atom
DFT formation energy = 16.69 kJ per mole of atoms

Cell and atoms, written as POSCAR:
```
Sc2ReRh
1.0
-1.311 0.174 2.600
1.135 -1.386 2.302
4.989 7.123 3.675
Sc Rh Re
2 1 1
direct
0.907 0.907 0.278 Sc
0.093 0.093 0.722 Sc
0.500 0.500 0.500 Rh
0.000 0.000 0.000 Re
```

Entry from Alexandria: CrSnP2O after structural relaxation (GGA-PBEsol).

Total moment = 3.3 μB/cell
Final energy = -5.58 eV per atom
E_form (uncorrected) = 0.683 eV/atom

Cell and atoms, written as POSCAR:
```
CrSnP2O
1.0
-3.239 0.934 -1.863
-1.359 -4.856 -0.072
-2.367 0.597 4.413
Sn P O Cr
1 2 1 1
direct
0.000 0.000 0.000 Sn
0.000 0.500 0.000 P
0.000 0.000 0.500 P
0.500 0.000 0.000 O
0.500 0.500 0.500 Cr
```

Entry from Alexandria: TlCoBi2Au after structural relaxation (GGA-PBEsol).

Total moment = 0.0 μB/cell
Final energy = -4.28 eV per atom
DFT formation energy = 28.29 kJ per mole of atoms

Cell and atoms, written as POSCAR:
```
TlCoBi2Au
1.0
4.913 0.000 0.000
0.000 4.913 0.000
0.000 0.000 5.083
Bi Co Au Tl
2 1 1 1
direct
0.000 0.500 0.000 Bi
0.500 0.000 0.000 Bi
0.000 0.000 0.000 Co
0.000 0.000 0.500 Au
0.500 0.500 0.500 Tl
```

Entry from Alexandria: Na3H12Ru2C4O18 after structural relaxation (GGA-PBEsol).

Total moment = 5.9 μB/cell
Final energy = -6.30 eV per atom

Cell and atoms, written as POSCAR:
```
Na3H12Ru2C4O18
1.0
9.585 0.013 -0.136
0.292 9.455 0.028
3.136 2.741 8.687
H C O Ru Na
24 8 36 4 6
direct
0.860 0.076 0.365 H
0.125 0.151 0.433 H
0.575 0.489 0.353 H
0.490 0.740 0.524 H
0.122 0.840 0.521 H
0.422 0.759 0.229 H
0.235 0.233 0.275 H
0.426 0.514 0.645 H
0.595 0.255 0.747 H
0.352 0.178 0.575 H
0.663 0.449 0.477 H
0.879 0.161 0.479 H
0.511 0.260 0.475 H
0.338 0.554 0.520 H
0.026 0.614 0.162 H
0.768 0.773 0.728 H
0.888 0.519 0.782 H
0.649 0.823 0.422 H
0.271 0.831 0.228 H
0.141 0.926 0.634 H
0.111 0.479 0.220 H
0.973 0.385 0.848 H
0.878 0.850 0.568 H
0.723 0.154 0.783 H
0.602 0.236 0.095 C
0.132 0.248 0.985 C
0.002 0.866 0.289 C
0.338 0.495 0.286 C
0.994 0.131 0.714 C
0.663 0.508 0.712 C
0.397 0.766 0.905 C
0.866 0.747 0.018 C
0.995 0.198 0.579 O
0.891 0.943 0.264 O
0.372 0.851 0.229 O
0.449 0.165 0.507 O
0.473 0.557 0.226 O
0.329 0.645 0.912 O
0.626 0.410 0.408 O
0.011 0.767 0.966 O
0.195 0.132 0.340 O
0.625 0.153 0.767 O
0.522 0.758 0.934 O
0.670 0.357 0.086 O
0.374 0.593 0.591 O
0.788 0.851 0.058 O
0.809 0.872 0.660 O
0.191 0.372 0.971 O
0.742 0.508 0.581 O
0.528 0.447 0.772 O
0.554 0.835 0.492 O
0.715 0.567 0.796 O
0.808 0.623 0.030 O
0.012 0.519 0.244 O
0.821 0.155 0.411 O
0.210 0.141 0.952 O
0.987 0.477 0.761 O
0.107 0.057 0.739 O
0.259 0.492 0.418 O
0.477 0.245 0.064 O
0.181 0.847 0.587 O
0.112 0.856 0.171 O
0.881 0.135 0.832 O
0.987 0.231 0.030 O
0.286 0.437 0.202 O
0.346 0.892 0.868 O
0.651 0.109 0.134 O
0.004 0.802 0.424 O
0.886 0.039 0.047 Ru
0.109 0.956 0.955 Ru
0.404 0.445 0.986 Ru
0.595 0.558 0.012 Ru
0.000 0.491 0.504 Na
0.839 0.372 0.211 Na
0.394 0.994 0.385 Na
0.450 0.030 0.993 Na
0.611 0.006 0.612 Na
0.160 0.629 0.787 Na
```

Entry from Alexandria: MoOsW2 after structural relaxation (GGA-PBEsol).

Polymorph energy (0 for the lowest one) = 0.0 meV per atom
Total moment = 0.0 μB/cell
Final energy = -12.74 eV per atom
DFT formation energy = 15.00 kJ per mole of atoms

Cell and atoms, written as POSCAR:
```
MoOsW2
1.0
-0.394 2.669 1.556
1.345 -1.988 3.751
3.666 0.788 -3.540
Mo W Os
1 2 1
direct
0.500 0.000 0.000 Mo
0.757 0.757 0.515 W
0.243 0.243 0.485 W
0.000 0.500 0.000 Os
```

Entry from Alexandria: Mn2TcSe after structural relaxation (GGA-PBEsol).

Total moment = 5.2 μB/cell
Final energy = -8.45 eV per atom
E_form (uncorrected) = 0.214 eV/atom

Cell and atoms, written as POSCAR:
```
Mn2TcSe
1.0
3.182 0.000 0.000
0.000 3.182 0.000
0.000 0.000 5.298
Tc Mn Se
1 2 1
direct
0.500 0.500 0.500 Tc
0.000 0.000 0.252 Mn
0.000 0.000 0.748 Mn
0.500 0.500 0.000 Se
```

Entry from Alexandria: SrLaRh4 after structural relaxation (GGA-PBEsol).

Total moment = 0.0 μB/cell
Final energy = -7.06 eV per atom
DFT formation energy = -42.12 kJ per mole of atoms

Cell and atoms, written as POSCAR:
```
SrLaRh4
1.0
5.372 0.000 0.000
2.686 4.652 0.000
2.686 1.551 4.386
Rh Sr La
4 1 1
direct
0.375 0.875 0.375 Rh
0.375 0.375 0.875 Rh
0.875 0.375 0.375 Rh
0.375 0.375 0.375 Rh
0.750 0.750 0.750 Sr
0.000 0.000 0.000 La
```

Entry from Alexandria: Ba2Nd2Ti2Cu2O11 after structural relaxation (GGA-PBEsol).

Total moment = 0.0 μB/cell
Final energy = -7.82 eV per atom
E_form (uncorrected) = -2.675 eV/atom

Cell and atoms, written as POSCAR:
```
Ba2Nd2Ti2Cu2O11
1.0
-2.528 0.151 2.951
1.848 -2.950 1.734
9.321 10.226 7.460
O Cu Nd Ba Ti
11 2 2 2 2
direct
0.500 0.000 0.387 O
0.000 0.000 0.744 O
0.000 0.500 0.096 O
0.000 0.000 0.256 O
0.000 0.500 0.613 O
0.500 0.000 0.096 O
0.500 0.000 0.904 O
0.000 0.500 0.904 O
0.500 0.000 0.613 O
0.000 0.500 0.387 O
0.000 0.000 0.500 O
0.000 0.000 0.106 Cu
0.000 0.000 0.894 Cu
0.500 0.500 0.500 Nd
0.500 0.500 0.000 Nd
0.500 0.500 0.233 Ba
0.500 0.500 0.767 Ba
0.000 0.000 0.373 Ti
0.000 0.000 0.627 Ti
```

Entry from Alexandria: POs after structural relaxation (GGA-PBEsol).

Total moment = 0.0 μB/cell
Final energy = -8.89 eV per atom
DFT formation energy = 10.56 kJ per mole of atoms

Cell and atoms, written as POSCAR:
```
POs
1.0
-1.295 -1.819 -1.913
-0.231 -0.498 2.889
-2.945 1.985 0.106
Os P
1 1
direct
0.000 0.000 0.000 Os
0.333 0.667 0.500 P
```

Entry from Alexandria: AgBiTe2 after structural relaxation (GGA-PBEsol).

Total moment = 0.0 μB/cell
Final energy = -3.74 eV per atom
E_form (uncorrected) = -0.074 eV/atom

Cell and atoms, written as POSCAR:
```
AgBiTe2
1.0
4.217 0.000 0.000
-2.109 3.652 0.000
0.000 0.000 21.724
Te Ag Bi
6 3 3
direct
0.667 0.333 0.093 Te
0.333 0.667 0.907 Te
0.333 0.667 0.427 Te
0.000 0.000 0.719 Te
0.667 0.333 0.573 Te
0.000 0.000 0.281 Te
0.333 0.667 0.642 Ag
0.667 0.333 0.358 Ag
0.000 0.000 0.500 Ag
0.667 0.333 0.808 Bi
0.333 0.667 0.192 Bi
0.000 0.000 0.000 Bi
```

Entry from Alexandria: ScInTeN2 after structural relaxation (GGA-PBEsol).

Total moment = 0.3 μB/cell
Final energy = -5.58 eV per atom
E_form (uncorrected) = 0.456 eV/atom

Cell and atoms, written as POSCAR:
```
ScInTeN2
1.0
-1.896 1.815 3.204
-3.648 -1.416 -1.357
0.711 -4.887 3.190
Te In Sc N
1 1 1 2
direct
0.000 0.000 0.500 Te
0.500 0.500 0.500 In
0.000 0.000 0.000 Sc
0.500 0.000 0.000 N
0.000 0.500 0.000 N
```

Entry from Alexandria: KIn2Se after structural relaxation (GGA-PBEsol).

Total moment = 0.0 μB/cell
Final energy = -3.01 eV per atom
E_form (uncorrected) = -0.274 eV/atom

Cell and atoms, written as POSCAR:
```
KIn2Se
1.0
4.157 0.014 0.000
-0.052 4.625 0.000
-2.053 -2.319 5.806
Se In K
1 2 1
direct
0.500 0.500 0.000 Se
0.000 0.000 0.500 In
0.500 0.500 0.500 In
0.000 0.000 0.000 K
```

Entry from Alexandria: GeTeF3 after structural relaxation (GGA-PBEsol).

Total moment = 0.0 μB/cell
Final energy = -3.59 eV per atom
E_form (uncorrected) = -0.743 eV/atom

Cell and atoms, written as POSCAR:
```
GeTeF3
1.0
4.526 0.000 0.000
0.000 4.526 0.000
0.000 0.000 4.526
F Ge Te
3 1 1
direct
0.500 0.000 0.000 F
0.000 0.500 0.000 F
0.000 0.000 0.500 F
0.500 0.500 0.500 Ge
0.000 0.000 0.000 Te
```

Entry from Alexandria: Nb3SbIr after structural relaxation (GGA-PBEsol).

Total moment = 0.0 μB/cell
Final energy = -7.46 eV per atom
E_form (uncorrected) = 1.910 eV/atom

Cell and atoms, written as POSCAR:
```
Nb3SbIr
1.0
4.863 0.000 0.000
0.000 4.863 0.000
0.000 0.000 4.863
Nb Sb Ir
3 1 1
direct
0.000 0.500 0.000 Nb
0.500 0.000 0.000 Nb
0.000 0.000 0.500 Nb
0.000 0.000 0.000 Sb
0.500 0.500 0.500 Ir
```

Entry from Alexandria: K2AgIr after structural relaxation (GGA-PBEsol).

Polymorph energy (0 for the lowest one) = 22.2 meV per atom
Total moment = 0.0 μB/cell
Final energy = -3.03 eV per atom
DFT formation energy = 79.44 kJ per mole of atoms

Cell and atoms, written as POSCAR:
```
K2AgIr
1.0
4.105 0.000 0.000
0.000 4.105 0.000
0.000 0.000 5.125
K Ag Ir
2 1 1
direct
0.000 0.500 0.000 K
0.500 0.000 0.000 K
0.500 0.500 0.500 Ag
0.000 0.000 0.500 Ir
```

Entry from Alexandria: TaBeNi3 after structural relaxation (GGA-PBEsol).

Total moment = 0.0 μB/cell
Final energy = -6.85 eV per atom
DFT formation energy = 15.05 kJ per mole of atoms

Cell and atoms, written as POSCAR:
```
TaBeNi3
1.0
3.863 0.000 0.000
0.000 3.863 0.000
0.000 0.000 3.863
Be Ni Ta
1 3 1
direct
0.000 0.000 0.000 Be
0.000 0.000 0.500 Ni
0.500 0.000 0.000 Ni
0.000 0.500 0.000 Ni
0.500 0.500 0.500 Ta
```

Entry from Alexandria: MgSbPt after structural relaxation (GGA-PBEsol).

Total moment = 0.0 μB/cell
Final energy = -5.12 eV per atom
E_form (uncorrected) = -0.703 eV/atom

Cell and atoms, written as POSCAR:
```
MgSbPt
1.0
-0.247 2.978 -3.279
1.465 -1.040 -4.056
-2.886 -0.588 -3.318
Mg Sb Pt
1 1 1
direct
0.500 0.500 0.500 Mg
0.000 0.000 0.000 Sb
0.250 0.250 0.250 Pt
```

Entry from Alexandria: TaSe2Br after structural relaxation (GGA-PBEsol).

Polymorph energy (0 for the lowest one) = 55.6 meV per atom
Total moment = 0.0 μB/cell
Final energy = -6.08 eV per atom
E_form (uncorrected) = -0.545 eV/atom

Cell and atoms, written as POSCAR:
```
TaSe2Br
1.0
3.396 0.002 0.067
1.696 2.943 0.067
1.513 0.874 8.738
Se Ta Br
2 1 1
direct
0.769 0.769 0.194 Se
0.231 0.231 0.806 Se
0.500 0.500 0.000 Ta
0.000 0.000 0.500 Br
```

Entry from Alexandria: Ni2AsAu after structural relaxation (GGA-PBEsol).

Polymorph energy (0 for the lowest one) = 188.2 meV per atom
Total moment = 0.0 μB/cell
Final energy = -5.18 eV per atom
DFT formation energy = 15.22 kJ per mole of atoms

Cell and atoms, written as POSCAR:
```
Ni2AsAu
1.0
4.250 0.000 0.000
2.125 3.680 0.000
2.125 1.227 3.470
Ni Au As
2 1 1
direct
0.000 0.000 0.000 Ni
0.750 0.750 0.750 Ni
0.250 0.250 0.250 Au
0.500 0.500 0.500 As
```

Entry from Alexandria: CdInPO2 after structural relaxation (GGA-PBEsol).

Total moment = 0.2 μB/cell
Final energy = -3.85 eV per atom
E_form (uncorrected) = 0.247 eV/atom

Cell and atoms, written as POSCAR:
```
CdInPO2
1.0
-2.467 -2.445 -2.090
2.035 -3.226 1.372
-3.153 -0.271 4.039
O In Cd P
2 1 1 1
direct
0.500 0.000 0.000 O
0.000 0.500 0.000 O
0.500 0.500 0.500 In
0.000 0.000 0.000 Cd
0.000 0.000 0.500 P
```

Entry from Alexandria: Ti3PPt after structural relaxation (GGA-PBEsol).

Total moment = 0.4 μB/cell
Final energy = -7.14 eV per atom
DFT formation energy = 39.41 kJ per mole of atoms

Cell and atoms, written as POSCAR:
```
Ti3PPt
1.0
-0.607 4.622 -0.614
-1.264 0.433 4.508
4.488 0.747 1.187
Ti P Pt
3 1 1
direct
0.000 0.000 0.500 Ti
0.000 0.500 0.000 Ti
0.500 0.000 0.000 Ti
0.500 0.500 0.500 P
0.000 0.000 0.000 Pt
```

Entry from Alexandria: GdVO4 after structural relaxation (GGA-PBEsol).

Total moment = 14.0 μB/cell
Final energy = -10.53 eV per atom
E_form (uncorrected) = -3.018 eV/atom

Cell and atoms, written as POSCAR:
```
GdVO4
1.0
5.981 -0.008 0.000
-2.655 5.360 0.000
-1.663 -2.676 5.084
O V Gd
8 2 2
direct
0.856 0.673 0.183 O
0.923 0.240 0.317 O
0.327 0.144 0.817 O
0.394 0.077 0.317 O
0.923 0.606 0.683 O
0.760 0.077 0.683 O
0.327 0.510 0.183 O
0.490 0.673 0.817 O
0.500 0.500 0.000 V
0.750 0.250 0.500 V
0.250 0.750 0.500 Gd
0.000 0.000 0.000 Gd
```

Entry from Alexandria: ScSnO3 after structural relaxation (GGA-PBEsol).

Total moment = 0.9 μB/cell
Final energy = -6.90 eV per atom
E_form (uncorrected) = -1.574 eV/atom

Cell and atoms, written as POSCAR:
```
ScSnO3
1.0
4.019 0.000 0.000
0.000 4.019 0.000
0.000 0.000 4.019
O Sn Sc
3 1 1
direct
0.500 0.000 0.000 O
0.000 0.500 0.000 O
0.000 0.000 0.500 O
0.000 0.000 0.000 Sn
0.500 0.500 0.500 Sc
```

Entry from Alexandria: FeTc2Ni after structural relaxation (GGA-PBEsol).

Polymorph energy (0 for the lowest one) = 284.6 meV per atom
Total moment = 2.0 μB/cell
Final energy = -9.19 eV per atom
DFT formation energy = 21.83 kJ per mole of atoms

Cell and atoms, written as POSCAR:
```
FeTc2Ni
1.0
-0.021 0.609 -4.093
-3.594 0.341 -2.022
-1.168 3.658 -1.542
Tc Fe Ni
2 1 1
direct
0.750 0.750 0.750 Tc
0.000 0.000 0.000 Tc
0.500 0.500 0.500 Fe
0.250 0.250 0.250 Ni
```